! HgGeP2 | the Alexandria database | PBE | optimized geometry; values from VASP
&SYSTEM
  ibrav = 0, nat = 12, ntyp = 3
/
ATOMIC_SPECIES
Hg 200.59 Hg.upf
Ge 72.64 Ge.upf
P 30.97 P.upf
CELL_PARAMETERS angstrom
3.7497 0.0000 0.0000
-1.8749 3.2473 0.0000
0.0000 0.0000 22.1975
ATOMIC_POSITIONS crystal
Hg 0.0000 0.0000 0.0000
Hg 0.3333 0.6667 0.6667
Hg 0.6667 0.3333 0.3333
Ge 0.0000 0.0000 0.5000
Ge 0.3333 0.6667 0.1667
Ge 0.6667 0.3333 0.8333
P 0.0000 0.0000 0.1092
P 0.0000 0.0000 0.8908
P 0.3333 0.6667 0.5575
P 0.3333 0.6667 0.7759
P 0.6667 0.3333 0.2241
P 0.6667 0.3333 0.4425
! DFT formation energy   275 meV/atom
! Total DFT energy (no corrections)   -43.914 eV/cell